Ac3Sm8Y | Alexandria via LeMat-Bulk | PBE | optimized geometry; calculated density = 7.50 g cm⁻³; DFT formation energy = 69 meV per atom; SG = P1, No. 1
1.0
6.8567 0.0000 0.0000
-2.9150 8.2954 0.0000
-2.9414 -3.1645 7.6806
Ac Sm Y
3 8 1
Direct
0.0000 0.0000 0.0000 Ac
0.9998 0.2650 0.7318 Ac
0.5021 0.1426 0.8590 Ac
0.9996 0.6670 0.6600 Sm
0.0023 0.9225 0.4050 Sm
0.0032 0.5958 0.0763 Sm
0.0056 0.3424 0.3352 Sm
0.4923 0.2228 0.4398 Sm
0.5031 0.8810 0.1221 Sm
0.5093 0.4895 0.1921 Sm
0.5094 0.5615 0.7776 Sm
0.4940 0.8063 0.5085 Y